Entry 1:
Mn4Tc5, relaxed, DFT PBE-GGA; density = 10.0 Mg/m³
1.0
7.1899 0.0000 0.0000
-3.5949 6.2266 0.0000
0.0000 0.0000 5.2616
Mn Tc
8 10
Direct
0.0000 0.0000 0.0000
0.0000 0.0000 0.5000
0.0000 0.3340 0.2500
0.0000 0.6660 0.7500
0.3340 0.0000 0.2500
0.3340 0.3340 0.7500
0.6660 0.0000 0.7500
0.6660 0.6660 0.2500
0.0000 0.3255 0.7500
0.0000 0.6745 0.2500
0.3255 0.0000 0.7500
0.3255 0.3255 0.2500
0.3333 0.6667 0.0000
0.3333 0.6667 0.5000
0.6667 0.3333 0.0000
0.6667 0.3333 0.5000
0.6745 0.0000 0.2500
0.6745 0.6745 0.7500

=====

Entry 2:
MnTc3, relaxed, DFT PBE-GGA; density = 10.5 Mg/m³
1.0
-1.3620 4.3353 2.3352
1.3620 -4.3353 2.3352
1.3620 4.3353 -2.3352
Mn Tc
1 3
Direct
0.0000 0.0000 0.0000
0.0831 0.3435 0.7396
0.4936 0.9936 0.5000
0.6039 0.3435 0.2604

=====

no.,E_form (eV per atom),V (Å³/atom),calculated total energy (Ry/atom)
1,0.118,13.09,-0.7142
2,0.068,13.79,-0.7349